1.
HfBe2Pb: PBEsol geometry, SCAN.

Computed properties:
Its formation energy is 0.54 eV/atom. Its space group is I-42d (122). For the final energy, the calculation gives -290.0 eV for the cell shown.

a = 5.685 Å, b = 5.685 Å, c = 5.685 Å
α = 104.51°, β = 104.51°, γ = 119.92°
Element x y z (fractional)
Pb (0.000, 0.000, 0.000)
Pb (0.250, 0.750, 0.500)
Be (0.625, 0.639, 0.514)
Be (0.125, 0.111, 0.486)
Be (0.889, 0.375, 0.014)
Be (0.361, 0.875, 0.986)
Hf (0.500, 0.500, 0.000)
Hf (0.750, 0.250, 0.500)

---

2.
HfBe2TcPb: PBEsol geometry, SCAN.

Computed properties:
Its formation energy is 0.75 eV/atom. Its space group is P4/mmm (123). For the final energy, the calculation gives -178.5 eV for the cell shown.

a = 4.226 Å, b = 4.226 Å, c = 5.043 Å
α = 90.00°, β = 90.00°, γ = 90.00°
Element x y z (fractional)
Pb (0.000, 0.000, 0.500)
Be (0.000, 0.500, 0.000)
Be (0.500, 0.000, 0.000)
Hf (0.500, 0.500, 0.500)
Tc (0.000, 0.000, 0.000)